Record 1
# DyMg15Tl4

An optimized crystal structure of DyMg15Tl4 (PBE, Alexandria).

a b c (Å): 4.752 4.752 20.995
angles (deg): 90.00 90.00 90.00
Element x y z (fractional)
Mg: 0.000 0.500 0.500
Mg: 0.500 0.000 0.894
Mg: 0.500 0.500 0.000
Mg: 0.500 0.500 0.400
Mg: 0.500 0.500 0.600
Mg: 0.000 0.500 0.302
Dy: 0.000 0.000 0.000
Tl: 0.000 0.000 0.598
Mg: 0.500 0.000 0.698
Tl: 0.000 0.000 0.402
Mg: 0.000 0.500 0.106
Mg: 0.500 0.500 0.206
Mg: 0.000 0.500 0.894
Mg: 0.500 0.500 0.794
Mg: 0.500 0.000 0.302
Tl: 0.000 0.000 0.202
Mg: 0.500 0.000 0.500
Tl: 0.000 0.000 0.798
Mg: 0.500 0.000 0.106
Mg: 0.000 0.500 0.698

Properties
The value obtained for the density is 4.709 g cm⁻³. As for the symmetry: P4/mmm (123).

---

Record 2
# PuNp2Co9

An optimized crystal structure of PuNp2Co9 (PBE, Alexandria).

a b c (Å): 4.860 4.860 8.597
angles (deg): 73.58 73.58 60.00
Site moments in Bohr magnetons follow the coordinates.
Element x y z (fractional)
Co: 0.918 0.418 0.247  -1.13
Co: 0.500 0.500 0.500  -0.91
Pu: 0.000 0.000 0.000  5.08
Co: 0.582 0.082 0.753  -1.13
Co: 0.082 0.582 0.753  -1.13
Co: 0.333 0.333 0.000  -1.36
Co: 0.418 0.418 0.247  -1.13
Np: 0.140 0.140 0.581  3.59
Co: 0.582 0.582 0.753  -1.13
Co: 0.418 0.918 0.247  -1.13
Co: 0.667 0.667 0.000  -1.36
Np: 0.860 0.860 0.419  3.59

Properties
The value obtained for the density is 12.469 g cm⁻³. As for the symmetry: R-3m (166).

---

Record 3
# Pm4Dy2Th

An optimized crystal structure of Pm4Dy2Th (PBE, Alexandria).

a b c (Å): 3.624 3.624 20.649
angles (deg): 95.11 90.00 120.01
Element x y z (fractional)
Th: 0.810 0.620 0.666
Pm: 0.523 0.045 0.809
Pm: 0.910 0.821 0.957
Pm: 0.000 0.000 0.238
Dy: 0.619 0.238 0.097
Pm: 0.429 0.857 0.522
Dy: 0.711 0.422 0.380

Properties
The value obtained for the excess energy over the best structure of this formula in the dataset is 0.0 meV per atom. The value obtained for the density is 8.083 g cm⁻³. As for the symmetry: Cm (8).

---

Record 4
# ZrIr2Cl

An optimized crystal structure of ZrIr2Cl (PBE, Alexandria).

a b c (Å): 5.441 5.441 5.441
angles (deg): 147.75 127.21 63.23
Element x y z (fractional)
Ir: 0.006 0.006 0.000
Ir: 0.771 0.271 0.500
Cl: 0.246 0.746 0.500
Zr: 0.477 0.477 0.000

Properties
The value obtained for the excess energy over the best structure of this formula in the dataset is 474.9 meV per atom. The calculation puts the uncorrected formation energy at 0.66 eV/f.u. The value obtained for the density is 12.529 g cm⁻³. As for the symmetry: Imm2 (44).

---

Record 5
# HoNpC

An optimized crystal structure of HoNpC (PBE, Alexandria).

a b c (Å): 6.229 3.398 3.398
angles (deg): 120.00 90.00 90.00
Site moments in Bohr magnetons follow the coordinates.
Element x y z (fractional)
Ho: 0.898 0.000 0.000  0.19
Np: 0.441 0.333 0.667  3.67
C: 0.661 0.667 0.333  -0.09

Properties
The value obtained for the excess energy over the best structure of this formula in the dataset is 0.0 meV per atom. The value obtained for the density is 11.034 g cm⁻³. As for the symmetry: P3m1 (156).

---

Record 6
# MgSc3

An optimized crystal structure of MgSc3 (PBE, Alexandria).

a b c (Å): 4.585 4.585 4.585
angles (deg): 90.00 90.00 90.00
Site moments in Bohr magnetons follow the coordinates.
Element x y z (fractional)
Sc: 0.000 0.500 0.500  0.24
Mg: 0.000 0.000 0.000  0.00
Sc: 0.500 0.500 0.000  0.24
Sc: 0.500 0.000 0.500  0.24

Properties
The value obtained for the excess energy over the best structure of this formula in the dataset is 48.9 meV per atom. The value obtained for the density is 2.743 g cm⁻³. As for the symmetry: Pm-3m (221).

---

Record 7
# ErGa2Co

An optimized crystal structure of ErGa2Co (PBE, Alexandria).

a b c (Å): 3.120 3.120 6.861
angles (deg): 90.00 90.00 90.00
Site moments in Bohr magnetons follow the coordinates.
Element x y z (fractional)
Ga: 0.000 0.000 0.807  -0.01
Co: 0.500 0.500 0.000  0.84
Er: 0.500 0.500 0.500  0.23
Ga: 0.000 0.000 0.193  -0.01

Properties
The value obtained for the density is 9.088 g cm⁻³. As for the symmetry: P4/mmm (123).

---

Record 8
# TlRhPb4

An optimized crystal structure of TlRhPb4 (PBE, Alexandria).

a b c (Å): 6.341 6.341 6.341
angles (deg): 60.00 60.00 60.00
Site moments in Bohr magnetons follow the coordinates.
Element x y z (fractional)
Tl: 0.000 0.000 0.000  0.01
Pb: 0.873 0.376 0.376  0.01
Pb: 0.376 0.376 0.873  0.01
Rh: 0.750 0.750 0.750  0.31
Pb: 0.376 0.376 0.376  0.01
Pb: 0.376 0.873 0.376  0.01

Properties
The value obtained for the excess energy over the best structure of this formula in the dataset is 571.2 meV per atom. The value obtained for the density is 10.463 g cm⁻³. As for the symmetry: F-43m (216).

---

Record 9
# GePPb3

An optimized crystal structure of GePPb3 (PBE, Alexandria).

a b c (Å): 5.430 5.430 5.430
angles (deg): 90.00 90.00 90.00
Element x y z (fractional)
P: 0.000 0.000 0.000
Pb: 0.000 0.500 0.000
Pb: 0.000 0.000 0.500
Ge: 0.500 0.500 0.500
Pb: 0.500 0.000 0.000

Properties
The value obtained for the excess energy over the best structure of this formula in the dataset is 0.0 meV per atom. The value obtained for the density is 7.523 g cm⁻³. As for the symmetry: Pm-3m (221).

---

Record 10
# LuCdGa

An optimized crystal structure of LuCdGa (PBE, Alexandria).

a b c (Å): 3.479 4.630 4.630
angles (deg): 120.00 90.00 90.00
Element x y z (fractional)
Cd: 0.165 0.000 0.000
Lu: 0.666 0.667 0.333
Ga: 0.168 0.333 0.667

Properties
The value obtained for the density is 9.178 g cm⁻³. As for the symmetry: P3m1 (156).

---

Record 11
# TmMg2Pb4

An optimized crystal structure of TmMg2Pb4 (PBE, Alexandria).

a b c (Å): 4.914 6.464 6.464
angles (deg): 102.99 90.00 90.00
Element x y z (fractional)
Pb: 0.500 0.500 0.000
Mg: 0.000 0.265 0.735
Pb: 0.000 0.215 0.215
Mg: 0.000 0.735 0.265
Pb: 0.000 0.785 0.785
Tm: 0.500 0.500 0.500
Pb: 0.500 0.000 0.500

Properties
The value obtained for the density is 8.685 g cm⁻³. As for the symmetry: Cmmm (65).

---

Record 12
# Pm5Ru2Rh

An optimized crystal structure of Pm5Ru2Rh (PBE, Alexandria).

a b c (Å): 7.581 7.581 8.823
angles (deg): 115.44 115.44 90.00
Element x y z (fractional)
Ru: 0.127 0.373 0.000
Ru: 0.373 0.873 0.000
Pm: 0.032 0.532 0.718
Pm: 0.186 0.032 0.718
Pm: 0.686 0.186 0.718
Pm: 0.968 0.468 0.282
Pm: 0.814 0.968 0.282
Rh: 0.750 0.750 0.500
Pm: 0.532 0.686 0.718
Pm: 0.000 0.000 0.000
Pm: 0.468 0.314 0.282
Pm: 0.500 0.500 0.000
Pm: 0.314 0.814 0.282
Ru: 0.627 0.127 0.000
Ru: 0.873 0.627 0.000
Rh: 0.250 0.250 0.500

Properties
The value obtained for the density is 8.493 g cm⁻³. As for the symmetry: I4/mcm (140).

---

Number 1: total energy -1.930 eV per atom. Number 2: total energy -8.766 eV per atom. Number 3: total energy -5.052 eV per atom. Number 4: total energy -6.865 eV per atom. Number 5: total energy -8.845 eV per atom. Number 6: total energy -5.109 eV per atom. Number 7: total energy -4.763 eV per atom. Number 8: total energy -3.579 eV per atom. Number 9: total energy -3.684 eV per atom. Number 10: total energy -3.211 eV per atom. Number 11: total energy -3.344 eV per atom. Number 12: total energy -6.545 eV per atom.